Entry from Alexandria via LeMat-Bulk: Np2Ga6Ru after structural relaxation (PBE).

Output
**Raw total energy**: -6.13 eV per atom
**Calculated formation energy**: -209 meV per atom

a = 5.9141 Å, b = 5.9141 Å, c = 5.5324 Å
α = 90.00°, β = 90.00°, γ = 120.00°
Last column: nearest neighbours and their distance in Å.
Positions (direct):
1 Np 0.3333 0.6667 0.1825  12 Ga 3.05-3.21
2 Np 0.6667 0.3333 0.8175  12 Ga 3.05-3.21
3 Ga 0.1763 0.3526 0.6852  1 Ru 2.51, 4 Ga 2.73-2.79
4 Ga 0.1763 0.8237 0.6852  1 Ru 2.51, 4 Ga 2.73-2.79
5 Ga 0.3526 0.1763 0.3148  1 Ru 2.51, 4 Ga 2.73-2.79
6 Ga 0.6474 0.8237 0.6852  1 Ru 2.51, 4 Ga 2.73-2.79
7 Ga 0.8237 0.1763 0.3148  1 Ru 2.51, 4 Ga 2.73-2.79
8 Ga 0.8237 0.6474 0.3148  1 Ru 2.51, 4 Ga 2.73-2.79
9 Ru 0.0000 0.0000 0.0000  6 Ga 2.51

***

Entry from Alexandria via LeMat-Bulk: MnCdSe after structural relaxation (PBE).

Output
**Raw total energy**: -4.42 eV per atom
**Raw formation energy**: 0.104 eV per atom

a = 4.5714 Å, b = 4.5714 Å, c = 4.5714 Å
α = 60.00°, β = 60.00°, γ = 60.00°
Last column: nearest neighbours and their distance in Å.
Positions (direct):
1 Mn 0.0000 0.0000 0.0000  4 Cd 2.80, 4 Se 2.80
2 Cd 0.2500 0.2500 0.2500  4 Mn 2.80
3 Se 0.7500 0.7500 0.7500  4 Mn 2.80

***

Entry from Alexandria via LeMat-Bulk: TcRuS2 after structural relaxation (PBE).

Output
**Raw total energy**: -7.04 eV per atom
**Raw formation energy**: -0.068 eV per atom

a = 7.9732 Å, b = 7.9732 Å, c = 7.9732 Å
α = 21.73°, β = 21.73°, γ = 21.73°
Last column: nearest neighbours and their distance in Å.
Positions (direct):
1 Tc 0.0000 0.0000 0.0000  6 S 2.40
2 Ru 0.5000 0.5000 0.5000  2 S 2.23
3 S 0.4045 0.4045 0.4045  1 Ru 2.23, 3 Tc 2.40
4 S 0.5955 0.5955 0.5955  1 Ru 2.23, 3 Tc 2.40

***

Entry from Alexandria via LeMat-Bulk: LaAsAuBrF after structural relaxation (PBE).

Output
**Raw total energy**: -5.01 eV per atom
**Raw formation energy**: -1.735 eV per atom

a = 4.2325 Å, b = 4.2325 Å, c = 8.6797 Å
α = 104.30°, β = 104.30°, γ = 59.81°
Last column: nearest neighbours and their distance in Å.
Positions (direct):
1 La 0.0000 0.0000 0.0000  3 F 2.44-2.45
2 As 0.5692 0.5692 0.7101  3 Au 2.53
3 Au 0.8754 0.8754 0.6314  3 As 2.53
4 Br 0.7474 0.7474 0.2394  3 La 3.15, 3 F 3.19-3.20, 1 Au 3.26
5 F 0.3302 0.3302 0.9913  3 La 2.44-2.45

***

Entry from Alexandria via LeMat-Bulk: Nd2Ga3SnPd4 after structural relaxation (PBE).

Output
**Raw total energy**: -5.13 eV per atom
**Calculated formation energy**: -790 meV per atom

a = 4.3473 Å, b = 4.3473 Å, c = 10.6781 Å
α = 90.00°, β = 90.00°, γ = 90.00°
Last column: nearest neighbours and their distance in Å.
Positions (direct):
1 Nd 0.0000 0.5000 0.2446  8 Pd 3.29-3.40, 6 Ga 3.34-3.49, 2 Sn 3.49
2 Nd 0.5000 0.0000 0.7554  8 Pd 3.29-3.40, 6 Ga 3.34-3.49, 2 Sn 3.49
3 Ga 0.0000 0.5000 0.8769  5 Pd 2.48-2.54
4 Ga 0.5000 0.0000 0.1231  5 Pd 2.48-2.54
5 Ga 0.5000 0.5000 0.5000  4 Pd 2.67
6 Sn 0.0000 0.0000 0.5000  4 Pd 2.67
7 Pd 0.0000 0.0000 0.0000  4 Ga 2.54
8 Pd 0.0000 0.5000 0.6447  3 Ga 2.48-2.67, 2 Sn 2.67
9 Pd 0.5000 0.0000 0.3553  3 Ga 2.48-2.67, 2 Sn 2.67
10 Pd 0.5000 0.5000 0.0000  4 Ga 2.54

***

Entry from Alexandria via LeMat-Bulk: NdY2Tm after structural relaxation (PBE).

Output
**Raw total energy**: -5.51 eV per atom
**Calculated formation energy**: 27 meV per atom

a = 3.5816 Å, b = 3.5816 Å, c = 10.1114 Å
α = 90.00°, β = 90.00°, γ = 90.00°
Last column: nearest neighbours and their distance in Å.
Positions (direct):
1 Nd 0.0000 0.0000 0.0000  4 Nd 3.58, 8 Y 3.62
2 Y 0.5000 0.5000 0.2560  4 Tm 3.54, 4 Y 3.58, 4 Nd 3.62
3 Y 0.5000 0.5000 0.7440  4 Tm 3.54, 4 Y 3.58, 4 Nd 3.62
4 Tm 0.0000 0.0000 0.5000  8 Y 3.54, 4 Tm 3.58

***

Entry from Alexandria via LeMat-Bulk: Na2ZnAgGe2 after structural relaxation (PBE).

Output
**Raw total energy**: -2.70 eV per atom
**Calculated formation energy**: -31 meV per atom

a = 8.2351 Å, b = 8.2351 Å, c = 8.2351 Å
α = 136.49°, β = 63.77°, γ = 135.79°
Last column: nearest neighbours and their distance in Å.
Positions (direct):
1 Na 0.1716 0.2408 0.4125  5 Ge 3.10-3.23, 2 Ag 3.21, 2 Zn 3.27
2 Na 0.3283 0.7408 0.0692  5 Ge 3.10-3.23, 2 Ag 3.21, 2 Zn 3.27
3 Na 0.6716 0.2592 0.9308  5 Ge 3.10-3.23, 2 Ag 3.21, 2 Zn 3.27
4 Na 0.8284 0.7592 0.5875  5 Ge 3.10-3.23, 2 Ag 3.21, 2 Zn 3.27
5 Zn 0.2500 0.7500 0.5000  4 Ge 2.59
6 Zn 0.7500 0.2500 0.5000  4 Ge 2.59
7 Ag 0.2500 0.2500 0.0000  4 Ge 2.69
8 Ag 0.7500 0.7500 0.0000  4 Ge 2.69
9 Ge 0.1068 0.7366 0.8434  2 Zn 2.59, 2 Ag 2.69
10 Ge 0.3932 0.2366 0.6298  2 Zn 2.59, 2 Ag 2.69
11 Ge 0.6068 0.7634 0.3702  2 Zn 2.59, 2 Ag 2.69
12 Ge 0.8932 0.2634 0.1566  2 Zn 2.59, 2 Ag 2.69

***

Entry from Alexandria via LeMat-Bulk: Tb7Tl2In after structural relaxation (PBE).

Output
**Raw total energy**: -4.08 eV per atom
**Calculated formation energy**: -95 meV per atom

a = 5.3243 Å, b = 5.3243 Å, c = 12.7390 Å
α = 90.00°, β = 90.00°, γ = 120.00°
Last column: nearest neighbours and their distance in Å.
Positions (direct):
1 Tb 0.0000 0.0000 0.0000  8 Tb 3.31-3.46, 3 In 3.59, 3 Tl 3.62
2 Tb 0.0000 0.0000 0.2601  1 Tl 3.04, 1 Tb 3.31
3 Tb 0.0000 0.0000 0.7367  4 Tl 3.04-3.40, 1 Tb 3.35
4 Tb 0.3333 0.6667 0.4102  3 Tl 3.27, 1 In 3.38, 3 Tb 3.62
5 Tb 0.3333 0.6667 0.8766  3 Tl 3.09, 1 In 3.42, 3 Tb 3.45
6 Tb 0.6667 0.3333 0.1242  3 In 3.09
7 Tb 0.6667 0.3333 0.5833  4 Tl 3.26-3.40, 3 Tb 3.64
8 Tl 0.0000 0.0000 0.4984  8 Tb 3.04-3.27
9 Tl 0.6667 0.3333 0.8501  7 Tb 3.09-3.40
10 In 0.3333 0.6667 0.1449  8 Tb 3.09-3.42

***

Please write out number 4 again, unchanged.
Entry from Alexandria via LeMat-Bulk: LaAsAuBrF after structural relaxation (PBE).

Output
**Raw total energy**: -5.01 eV per atom
**Raw formation energy**: -1.735 eV per atom

a = 4.2325 Å, b = 4.2325 Å, c = 8.6797 Å
α = 104.30°, β = 104.30°, γ = 59.81°
Last column: nearest neighbours and their distance in Å.
Positions (direct):
1 La 0.0000 0.0000 0.0000  3 F 2.44-2.45
2 As 0.5692 0.5692 0.7101  3 Au 2.53
3 Au 0.8754 0.8754 0.6314  3 As 2.53
4 Br 0.7474 0.7474 0.2394  3 La 3.15, 3 F 3.19-3.20, 1 Au 3.26
5 F 0.3302 0.3302 0.9913  3 La 2.44-2.45

***

> Which of these has the lowest raw total energy?

TcRuS2

***

> Among the records above, which one has the lowest raw total energy?

TcRuS2

***

> raw total energy of number 4 (LaAsAuBrF)?

-5.01 eV per atom